(1)
# Li5TlCd2 (PBE, relaxed)
# * total moment: 0.0 μB per cell
# * symmetry: I4/mmm
# * DFT total energy: -31.28 eV/cell
data_Li5TlCd2
_cell_length_a 4.603
_cell_length_b 4.603
_cell_length_c 13.956
_cell_angle_alpha 90.00
_cell_angle_beta 90.00
_cell_angle_gamma 90.00
_symmetry_space_group_name_H-M 'P 1'
_symmetry_Int_Tables_number 1
_symmetry_space_group_name_Hall 'P 1'
loop_
_atom_site_label
_atom_site_type_symbol
_atom_site_fract_x
_atom_site_fract_y
_atom_site_fract_z
Li1 Li 0.000 0.000 0.000
Li2 Li 0.000 0.500 0.125
Li3 Li 0.000 0.500 0.375
Li4 Li 0.000 0.500 0.625
Li5 Li 0.000 0.500 0.875
Li6 Li 0.500 0.000 0.125
Li7 Li 0.500 0.000 0.375
Li8 Li 0.500 0.000 0.625
Li9 Li 0.500 0.000 0.875
Li10 Li 0.500 0.500 0.500
Tl1 Tl 0.000 0.000 0.500
Tl2 Tl 0.500 0.500 0.000
Cd1 Cd 0.000 0.000 0.250
Cd2 Cd 0.000 0.000 0.750
Cd3 Cd 0.500 0.500 0.250
Cd4 Cd 0.500 0.500 0.750

---

(2)
# LiTlCd (PBE, relaxed)
# * total moment: 0.0 μB per cell
# * symmetry: I4/mmm
# * DFT total energy: -22.27 eV/cell
data_LiTlCd
_cell_length_a 3.220
_cell_length_b 3.220
_cell_length_c 26.263
_cell_angle_alpha 90.00
_cell_angle_beta 90.00
_cell_angle_gamma 90.00
_symmetry_space_group_name_H-M 'P 1'
_symmetry_Int_Tables_number 1
_symmetry_space_group_name_Hall 'P 1'
loop_
_atom_site_label
_atom_site_type_symbol
_atom_site_fract_x
_atom_site_fract_y
_atom_site_fract_z
Li1 Li 0.000 0.000 0.138
Li2 Li 0.000 0.000 0.862
Li3 Li 0.500 0.500 0.362
Li4 Li 0.500 0.500 0.638
Tl1 Tl 0.000 0.000 0.441
Tl2 Tl 0.000 0.000 0.559
Tl3 Tl 0.500 0.500 0.059
Tl4 Tl 0.500 0.500 0.941
Cd1 Cd 0.000 0.000 0.293
Cd2 Cd 0.000 0.000 0.707
Cd3 Cd 0.500 0.500 0.207
Cd4 Cd 0.500 0.500 0.793

---

(3)
# Li6Tl2Cd (PBE, relaxed)
# * total moment: 0.0 μB per cell
# * symmetry: P6/mmm
# * DFT total energy: -18.85 eV/cell
data_Li6Tl2Cd
_cell_length_a 8.052
_cell_length_b 8.052
_cell_length_c 3.019
_cell_angle_alpha 90.00
_cell_angle_beta 90.00
_cell_angle_gamma 120.00
_symmetry_space_group_name_H-M 'P 1'
_symmetry_Int_Tables_number 1
_symmetry_space_group_name_Hall 'P 1'
loop_
_atom_site_label
_atom_site_type_symbol
_atom_site_fract_x
_atom_site_fract_y
_atom_site_fract_z
Li1 Li 0.000 0.332 0.000
Li2 Li 0.000 0.668 0.000
Li3 Li 0.332 0.000 0.000
Li4 Li 0.332 0.332 0.000
Li5 Li 0.668 0.000 0.000
Li6 Li 0.668 0.668 0.000
Tl1 Tl 0.333 0.667 0.500
Tl2 Tl 0.667 0.333 0.500
Cd1 Cd 0.000 0.000 0.500

---

(4)
# Li12Tl3Cd (PBE, relaxed)
# * total moment: 0.0 μB per cell
# * symmetry: P4/mmm
# * DFT total energy: -33.92 eV/cell
data_Li12Tl3Cd
_cell_length_a 4.155
_cell_length_b 4.155
_cell_length_c 17.574
_cell_angle_alpha 90.00
_cell_angle_beta 90.00
_cell_angle_gamma 90.00
_symmetry_space_group_name_H-M 'P 1'
_symmetry_Int_Tables_number 1
_symmetry_space_group_name_Hall 'P 1'
loop_
_atom_site_label
_atom_site_type_symbol
_atom_site_fract_x
_atom_site_fract_y
_atom_site_fract_z
Li1 Li 0.000 0.000 0.000
Li2 Li 0.000 0.000 0.247
Li3 Li 0.000 0.000 0.500
Li4 Li 0.000 0.000 0.753
Li5 Li 0.000 0.500 0.122
Li6 Li 0.000 0.500 0.372
Li7 Li 0.000 0.500 0.628
Li8 Li 0.000 0.500 0.878
Li9 Li 0.500 0.000 0.122
Li10 Li 0.500 0.000 0.372
Li11 Li 0.500 0.000 0.628
Li12 Li 0.500 0.000 0.878
Tl1 Tl 0.500 0.500 0.248
Tl2 Tl 0.500 0.500 0.500
Tl3 Tl 0.500 0.500 0.752
Cd1 Cd 0.500 0.500 0.000

---

(5)
# Li12TlCd6 (PBE, relaxed)
# * total moment: 0.0 μB per cell
# * symmetry: R-3
# * DFT total energy: -33.93 eV/cell
data_Li12TlCd6
_cell_length_a 7.240
_cell_length_b 7.240
_cell_length_c 7.240
_cell_angle_alpha 91.18
_cell_angle_beta 91.18
_cell_angle_gamma 91.18
_symmetry_space_group_name_H-M 'P 1'
_symmetry_Int_Tables_number 1
_symmetry_space_group_name_Hall 'P 1'
loop_
_atom_site_label
_atom_site_type_symbol
_atom_site_fract_x
_atom_site_fract_y
_atom_site_fract_z
Li1 Li 0.029 0.299 0.934
Li2 Li 0.066 0.971 0.701
Li3 Li 0.127 0.344 0.467
Li4 Li 0.299 0.934 0.029
Li5 Li 0.344 0.467 0.127
Li6 Li 0.467 0.127 0.344
Li7 Li 0.533 0.873 0.656
Li8 Li 0.656 0.533 0.873
Li9 Li 0.701 0.066 0.971
Li10 Li 0.873 0.656 0.533
Li11 Li 0.934 0.029 0.299
Li12 Li 0.971 0.701 0.066
Tl1 Tl 0.500 0.500 0.500
Cd1 Cd 0.213 0.618 0.781
Cd2 Cd 0.219 0.787 0.382
Cd3 Cd 0.382 0.219 0.787
Cd4 Cd 0.618 0.781 0.213
Cd5 Cd 0.781 0.213 0.618
Cd6 Cd 0.787 0.382 0.219

---

(6)
# Li14TlCd (PBE, relaxed)
# * total moment: 0.0 μB per cell
# * symmetry: Amm2
# * DFT total energy: -31.41 eV/cell
data_Li14TlCd
_cell_length_a 9.676
_cell_length_b 5.830
_cell_length_c 5.830
_cell_angle_alpha 70.35
_cell_angle_beta 90.00
_cell_angle_gamma 90.00
_symmetry_space_group_name_H-M 'P 1'
_symmetry_Int_Tables_number 1
_symmetry_space_group_name_Hall 'P 1'
loop_
_atom_site_label
_atom_site_type_symbol
_atom_site_fract_x
_atom_site_fract_y
_atom_site_fract_z
Li1 Li 0.000 0.000 0.000
Li2 Li 0.000 0.498 0.498
Li3 Li 0.000 0.500 0.996
Li4 Li 0.000 0.996 0.500
Li5 Li 0.256 0.228 0.739
Li6 Li 0.256 0.239 0.239
Li7 Li 0.256 0.739 0.228
Li8 Li 0.258 0.729 0.729
Li9 Li 0.500 0.480 0.982
Li10 Li 0.500 0.982 0.480
Li11 Li 0.742 0.729 0.729
Li12 Li 0.744 0.228 0.739
Li13 Li 0.744 0.239 0.239
Li14 Li 0.744 0.739 0.228
Tl1 Tl 0.500 0.481 0.481
Cd1 Cd 0.500 0.981 0.981

---

(7)
# Li2TlCd2 (PBE, relaxed)
# * total moment: 0.0 μB per cell
# * symmetry: C2/m
# * DFT total energy: -17.80 eV/cell
data_Li2TlCd2
_cell_length_a 9.036
_cell_length_b 4.523
_cell_length_c 6.539
_cell_angle_alpha 90.00
_cell_angle_beta 128.68
_cell_angle_gamma 90.00
_symmetry_space_group_name_H-M 'P 1'
_symmetry_Int_Tables_number 1
_symmetry_space_group_name_Hall 'P 1'
loop_
_atom_site_label
_atom_site_type_symbol
_atom_site_fract_x
_atom_site_fract_y
_atom_site_fract_z
Li1 Li 0.095 0.000 0.302
Li2 Li 0.405 0.500 0.698
Li3 Li 0.595 0.500 0.302
Li4 Li 0.905 0.000 0.698
Tl1 Tl 0.000 0.500 0.500
Tl2 Tl 0.500 0.000 0.500
Cd1 Cd 0.199 0.500 0.111
Cd2 Cd 0.301 0.000 0.889
Cd3 Cd 0.699 0.000 0.111
Cd4 Cd 0.801 0.500 0.889

---

(8)
# LiTlCd (PBE, relaxed)
# * total moment: 0.0 μB per cell
# * symmetry: P3m1
# * DFT total energy: -5.47 eV/cell
data_LiTlCd
_cell_length_a 3.327
_cell_length_b 3.327
_cell_length_c 7.271
_cell_angle_alpha 90.00
_cell_angle_beta 90.00
_cell_angle_gamma 120.00
_symmetry_space_group_name_H-M 'P 1'
_symmetry_Int_Tables_number 1
_symmetry_space_group_name_Hall 'P 1'
loop_
_atom_site_label
_atom_site_type_symbol
_atom_site_fract_x
_atom_site_fract_y
_atom_site_fract_z
Li1 Li 0.000 0.000 0.000
Tl1 Tl 0.667 0.333 0.325
Cd1 Cd 0.333 0.667 0.695

---

Question: The highest DFT total energy belongs to which entry?
Answer: number 8

---

Question: Look up the total moment of the second one.
Answer: 0.0 μB per cell